[1]
DFT (PBE) results for an optimized crystal structure of ScSi2Sb.

Results
Space group: P4mm, No. 99
Raw total energy: -21.39 eV per cell
E_form (uncorrected): -0.022 eV per atom

Lattice parameters (Å, degrees): 3.1244 3.1244 8.6093 90.00 90.00 90.00
Last column: nearest neighbours and their distance in Å.
Fractional positions:
Sc 0.0000 0.0000 0.0000  5 Si 2.88-3.11, 4 Sc 3.12, 4 Sb 3.22
Si 0.0000 0.0000 0.3616  4 Si 2.55
Si 0.5000 0.5000 0.2148  4 Si 2.55
Sb 0.5000 0.5000 0.7284  4 Sb 3.12, 4 Sc 3.22

---

[2]
DFT (PBE) results for an optimized crystal structure of ScSiSb2.

Results
Space group: I-42d, No. 122
Raw total energy: -40.02 eV per cell
E_form (uncorrected): -0.003 eV per atom

Lattice parameters (Å, degrees): 7.4649 7.4649 7.4649 127.32 127.32 77.73
Last column: nearest neighbours and their distance in Å.
Fractional positions:
Sc 0.0000 0.0000 0.0000  4 Sb 2.88
Sc 0.7500 0.2500 0.5000  4 Sb 2.88
Si 0.2500 0.7500 0.5000  4 Sb 2.64
Si 0.5000 0.5000 0.0000  4 Sb 2.64
Sb 0.1553 0.6250 0.0303  2 Si 2.64, 2 Sc 2.88
Sb 0.3750 0.4053 0.5303  2 Si 2.64, 2 Sc 2.88
Sb 0.5947 0.1250 0.9697  2 Si 2.64, 2 Sc 2.88
Sb 0.8750 0.8447 0.4697  2 Si 2.64, 2 Sc 2.88

---

[3]
DFT (PBE) results for an optimized crystal structure of ScSiSb2.

Results
Space group: Pmmm, No. 47
Raw total energy: -20.38 eV per cell
E_form (uncorrected): -0.094 eV per atom

Lattice parameters (Å, degrees): 4.0540 4.2683 5.2626 90.00 90.00 90.00
Last column: nearest neighbours and their distance in Å.
Fractional positions:
Sc 0.0000 0.0000 0.0000  4 Sb 2.94
Si 0.0000 0.5000 0.5000  4 Sb 2.94
Sb 0.5000 0.0000 0.5000  4 Si 2.94
Sb 0.5000 0.5000 0.0000  4 Sc 2.94

---

[4]
DFT (PBE) results for an optimized crystal structure of ScSi2Sb.

Results
Space group: F-43m, No. 216
Raw total energy: -20.45 eV per cell
E_form (uncorrected): 0.212 eV per atom

Lattice parameters (Å, degrees): 4.8700 4.8700 4.8700 60.00 60.00 60.00
Last column: nearest neighbours and their distance in Å.
Fractional positions:
Sc 0.0000 0.0000 0.0000  4 Sb 2.98, 4 Si 2.98
Si 0.2500 0.2500 0.2500  4 Si 2.98, 4 Sc 2.98
Si 0.5000 0.5000 0.5000  4 Sb 2.98, 4 Si 2.98
Sb 0.7500 0.7500 0.7500  4 Si 2.98, 4 Sc 2.98

---

[5]
DFT (PBE) results for an optimized crystal structure of Sc4SiSb.

Results
Space group: C2/c, No. 15
Raw total energy: -77.45 eV per cell
E_form (uncorrected): -0.642 eV per atom

Lattice parameters (Å, degrees): 7.4628 7.4628 5.6003 102.34 102.34 114.40
Last column: nearest neighbours and their distance in Å.
Fractional positions:
Sc 0.0747 0.7122 0.9329  2 Si 2.78-2.79, 2 Sb 2.99-3.03
Sc 0.2066 0.3742 0.6593  2 Si 2.77-2.79, 2 Sb 3.00-3.10
Sc 0.2878 0.9253 0.5671  2 Si 2.78-2.79, 2 Sb 2.99-3.03
Sc 0.3742 0.2066 0.1593  2 Si 2.77-2.79, 2 Sb 3.00-3.10
Sc 0.6258 0.7934 0.8407  2 Si 2.77-2.79, 2 Sb 3.00-3.10
Sc 0.7122 0.0747 0.4329  2 Si 2.78-2.79, 2 Sb 2.99-3.03
Sc 0.7934 0.6258 0.3407  2 Si 2.77-2.79, 2 Sb 3.00-3.10
Sc 0.9253 0.2878 0.0671  2 Si 2.78-2.79, 2 Sb 2.99-3.03
Si 0.0010 0.9990 0.2500  8 Sc 2.77-2.79, 2 Si 2.80
Si 0.9990 0.0010 0.7500  8 Sc 2.77-2.79, 2 Si 2.80
Sb 0.3801 0.6199 0.2500  8 Sc 2.99-3.10
Sb 0.6199 0.3801 0.7500  8 Sc 2.99-3.10

---

[6]
DFT (PBE) results for an optimized crystal structure of Sc5Si2Sb.

Results
Space group: I4/mcm, No. 140
Raw total energy: -105.57 eV per cell
E_form (uncorrected): -0.770 eV per atom

Lattice parameters (Å, degrees): 8.1947 8.1947 8.1947 127.94 127.94 76.72
Last column: nearest neighbours and their distance in Å.
Fractional positions:
Sc 0.0000 0.0000 0.0000  4 Si 2.80
Sc 0.0220 0.5220 0.8250  3 Si 2.75-2.80, 2 Sb 3.04
Sc 0.1970 0.0220 0.5000  3 Si 2.75-2.80, 2 Sb 3.04
Sc 0.3030 0.8030 0.8250  3 Si 2.75-2.80, 2 Sb 3.04
Sc 0.4780 0.3030 0.5000  3 Si 2.75-2.80, 2 Sb 3.04
Sc 0.5000 0.5000 0.0000  4 Si 2.80
Sc 0.5220 0.6970 0.5000  3 Si 2.75-2.80, 2 Sb 3.04
Sc 0.6970 0.1970 0.1750  3 Si 2.75-2.80, 2 Sb 3.04
Sc 0.8030 0.9780 0.5000  3 Si 2.75-2.80, 2 Sb 3.04
Sc 0.9780 0.4780 0.1750  3 Si 2.75-2.80, 2 Sb 3.04
Si 0.1340 0.3660 0.5000  1 Si 2.73, 8 Sc 2.75-2.80
Si 0.3660 0.8660 0.2319  1 Si 2.73, 8 Sc 2.75-2.80
Si 0.6340 0.1340 0.7681  1 Si 2.73, 8 Sc 2.75-2.80
Si 0.8660 0.6340 0.5000  1 Si 2.73, 8 Sc 2.75-2.80
Sb 0.2500 0.2500 0.0000  10 Sc 3.04-3.21
Sb 0.7500 0.7500 0.0000  10 Sc 3.04-3.21

---

[7]
DFT (PBE) results for an optimized crystal structure of ScSiSb2.

Results
Space group: R-3m, No. 166
Raw total energy: -19.44 eV per cell
E_form (uncorrected): 0.139 eV per atom

Lattice parameters (Å, degrees): 10.2645 10.2645 10.2645 18.38 18.38 18.38
Last column: nearest neighbours and their distance in Å.
Fractional positions:
Sc 0.0000 0.0000 0.0000  6 Sb 3.07, 6 Sc 3.28
Si 0.5000 0.5000 0.5000  6 Sb 3.23, 6 Si 3.28
Sb 0.2533 0.2533 0.2533  3 Sc 3.07, 3 Si 3.23, 6 Sb 3.28
Sb 0.7467 0.7467 0.7467  3 Sc 3.07, 3 Si 3.23, 6 Sb 3.28

---

[8]
DFT (PBE) results for an optimized crystal structure of ScSi4Sb.

Results
Space group: F-43m, No. 216
Raw total energy: -31.83 eV per cell
E_form (uncorrected): 0.053 eV per atom

Lattice parameters (Å, degrees): 5.2386 5.2386 5.2386 60.00 60.00 60.00
Last column: nearest neighbours and their distance in Å.
Fractional positions:
Sc 0.0000 0.0000 0.0000  12 Si 3.07, 4 Sb 3.21
Si 0.1243 0.6252 0.6252  6 Si 2.61-2.62
Si 0.6252 0.1243 0.6252  6 Si 2.61-2.62
Si 0.6252 0.6252 0.1243  6 Si 2.61-2.62
Si 0.6252 0.6252 0.6252  6 Si 2.61-2.62
Sb 0.2500 0.2500 0.2500  12 Si 3.07, 4 Sc 3.21